Record 1
TbPmPrLu after structural relaxation. Source: the Alexandria database, functional GGA-PBE.

The calculated total energy comes out at -18.263 eV/cell. The spin magnetization is 0.0 μB/f.u. The energy of formation from the pure elements is 0.10 eV per atom.

Cell and atoms, written as POSCAR:
```
TbPmPrLu
1.0
0.0000 4.0483 4.0483
4.0483 0.0000 4.0483
4.0483 4.0483 0.0000
Tb Pm Pr Lu
1 1 1 1
Direct
0.0000 0.0000 0.0000
0.2500 0.2500 0.2500
0.7500 0.7500 0.7500
0.5000 0.5000 0.5000
```


Record 2
InSiRh after structural relaxation. Source: the Alexandria database, functional GGA-PBE.

The calculated total energy comes out at -16.054 eV/cell. The spin magnetization is 0.0 μB/f.u.

Cell and atoms, written as POSCAR:
```
InSiRh
1.0
4.0557 0.0000 0.0000
-2.0278 3.5123 0.0000
0.0000 0.0000 3.7987
In Si Rh
1 1 1
Direct
0.0000 0.0000 0.0000
0.3333 0.6667 0.5000
0.6667 0.3333 0.5000
```


Record 3
NbAgOF2 after structural relaxation. Source: the Alexandria database, functional GGA-PBE.

The calculated total energy comes out at -22.656 eV/cell. The spin magnetization is 3.0 μB/f.u. The value obtained for the energy above the lowest structure with this stoichiometry is 1479 meV per atom.

Cell and atoms, written as POSCAR:
```
NbAgOF2
1.0
4.2775 0.0000 0.0000
0.0000 4.2775 0.0000
0.0000 0.0000 4.2037
Nb Ag O F
1 1 1 2
Direct
0.0000 0.0000 0.0000
0.5000 0.5000 0.5000
0.5000 0.5000 0.0000
0.0000 0.5000 0.5000
0.5000 0.0000 0.5000
```


> Number 2 is which compound?

InSiRh